An optimized crystal structure of HfSc2VO6. Source: Alexandria, functional GGA+U.

```
HfSc2VO6
1.0
-2.215 1.585 4.638
-5.222 -0.896 0.931
-1.394 -4.036 3.831
Hf Sc V O
1 2 1 6
direct
0.312 0.312 0.063 Hf
0.520 0.519 0.442 Sc
0.023 0.023 0.930 Sc
0.816 0.816 0.552 V
0.606 0.221 0.250 O
0.221 0.924 0.250 O
0.924 0.605 0.250 O
0.405 0.711 0.759 O
0.710 0.125 0.759 O
0.125 0.405 0.759 O
```

Computed properties:
**Raw total energy**: -91.24 eV per formula unit